Entry 1:
Compound: Tl12Se5Cl3
Source: the Alexandria database
Functional: GGA-PBE
Structure: optimized geometry

Summary:
Mass density: 6.29 g cm⁻³
Calculated volume: 39.01 Å³/atom
E_form (uncorrected): -0.440 eV/atom

Unit cell a=15.945 b=15.945 c=15.945 alpha=109.47 beta=109.47 gamma=109.47
Fractional positions:
1 Tl 0.643 0.590 0.920
2 Tl 0.143 0.723 0.553
3 Tl 0.170 0.090 0.947
4 Tl 0.447 0.777 0.857
5 Tl 0.580 0.857 0.410
6 Tl 0.643 0.053 0.223
7 Tl 0.777 0.330 0.920
8 Tl 0.910 0.080 0.857
9 Tl 0.670 0.447 0.590
10 Tl 0.080 0.910 0.357
11 Tl 0.920 0.830 0.777
12 Tl 0.590 0.643 0.420
13 Tl 0.830 0.910 0.053
14 Tl 0.090 0.920 0.143
15 Tl 0.553 0.223 0.143
16 Tl 0.670 0.223 0.580
17 Tl 0.053 0.410 0.830
18 Tl 0.330 0.777 0.420
19 Tl 0.277 0.420 0.830
20 Tl 0.447 0.670 0.090
21 Tl 0.330 0.553 0.410
22 Tl 0.223 0.670 0.080
23 Tl 0.590 0.947 0.670
24 Tl 0.420 0.277 0.330
25 Tl 0.277 0.857 0.947
26 Tl 0.947 0.357 0.277
27 Tl 0.357 0.410 0.080
28 Tl 0.053 0.643 0.723
29 Tl 0.580 0.723 0.670
30 Tl 0.857 0.580 0.910
31 Tl 0.410 0.053 0.330
32 Tl 0.223 0.553 0.643
33 Tl 0.420 0.143 0.590
34 Tl 0.947 0.590 0.170
35 Tl 0.170 0.080 0.723
36 Tl 0.410 0.357 0.580
37 Tl 0.830 0.920 0.277
38 Tl 0.910 0.830 0.553
39 Tl 0.080 0.170 0.223
40 Tl 0.920 0.090 0.643
41 Tl 0.723 0.580 0.170
42 Tl 0.553 0.330 0.910
43 Tl 0.777 0.447 0.357
44 Tl 0.090 0.170 0.447
45 Tl 0.723 0.143 0.053
46 Tl 0.143 0.420 0.090
47 Tl 0.357 0.947 0.777
48 Tl 0.857 0.277 0.447
49 Se 0.000 0.000 0.000
50 Se 0.875 0.250 0.625
51 Se 0.000 0.500 0.500
52 Se 0.375 0.125 0.750
53 Se 0.875 0.625 0.750
54 Se 0.000 0.500 0.000
55 Se 0.750 0.125 0.875
56 Se 0.000 0.000 0.500
57 Se 0.500 0.500 0.000
58 Se 0.500 0.000 0.500
59 Se 0.500 0.000 0.000
60 Se 0.125 0.375 0.250
61 Se 0.250 0.375 0.625
62 Se 0.250 0.875 0.125
63 Se 0.500 0.500 0.500
64 Se 0.375 0.250 0.125
65 Se 0.750 0.625 0.375
66 Se 0.625 0.750 0.875
67 Se 0.125 0.750 0.375
68 Se 0.625 0.875 0.250
69 Cl 0.125 0.250 0.875
70 Cl 0.625 0.375 0.750
71 Cl 0.875 0.125 0.250
72 Cl 0.250 0.125 0.375
73 Cl 0.875 0.750 0.125
74 Cl 0.750 0.375 0.125
75 Cl 0.250 0.625 0.875
76 Cl 0.750 0.875 0.625
77 Cl 0.625 0.250 0.375
78 Cl 0.125 0.875 0.750
79 Cl 0.375 0.625 0.250
80 Cl 0.375 0.750 0.625

---

Entry 2:
Compound: Mn3P
Source: the Alexandria database
Functional: GGA-PBE
Structure: optimized geometry

Summary:
Mass density: 7.54 g cm⁻³
Calculated volume: 10.78 Å³/atom
Energy relative to the elements: -0.17 eV/atom

Unit cell a=4.418 b=4.418 c=4.418 alpha=90.00 beta=90.00 gamma=90.00
Fractional positions:
1 Mn 0.500 0.000 0.250
2 Mn 0.000 0.750 0.500
3 Mn 0.750 0.500 0.000
4 Mn 0.250 0.500 0.000
5 Mn 0.000 0.250 0.500
6 Mn 0.500 0.000 0.750
7 P 0.500 0.500 0.500
8 P 0.000 0.000 0.000

---

Entry 3:
Compound: Al2In2SnRh5
Source: the Alexandria database
Functional: GGA-PBE
Structure: optimized geometry

Summary:
Mass density: 9.25 g cm⁻³
Calculated volume: 16.46 Å³/atom
Energy relative to the elements: -0.49 eV/atom

Unit cell a=3.534 b=9.652 c=9.652 alpha=90.00 beta=90.00 gamma=90.00
Fractional positions:
1 Rh 0.500 0.412 0.303
2 Rh 0.500 0.088 0.803
3 Rh 0.500 0.500 0.000
4 Rh 0.500 0.912 0.197
5 Rh 0.500 0.803 0.912
6 Rh 0.500 0.000 0.500
7 Rh 0.500 0.588 0.697
8 Rh 0.500 0.197 0.088
9 Rh 0.500 0.303 0.588
10 Rh 0.500 0.697 0.412
11 In 0.000 0.670 0.170
12 In 0.000 0.330 0.830
13 In 0.000 0.170 0.330
14 In 0.000 0.830 0.670
15 Al 0.000 0.873 0.373
16 Al 0.000 0.127 0.627
17 Al 0.000 0.373 0.127
18 Al 0.000 0.627 0.873
19 Sn 0.000 0.500 0.500
20 Sn 0.000 0.000 0.000

---

Entry 4:
Compound: BaY2AsS
Source: the Alexandria database
Functional: GGA-PBE
Structure: optimized geometry

Summary:
Mass density: 3.83 g cm⁻³
Calculated volume: 36.56 Å³/atom
E_form (uncorrected): -0.449 eV/atom

Unit cell a=5.337 b=6.417 c=5.337 alpha=90.00 beta=90.00 gamma=90.00
Fractional positions:
1 S 0.500 0.500 0.500
2 Y 0.000 0.000 0.500
3 Y 0.500 0.000 0.000
4 As 0.000 0.000 0.000
5 Ba 0.000 0.500 0.000

---

Entry 5:
Compound: CrFePb2
Source: the Alexandria database
Functional: GGA-PBE
Structure: optimized geometry

Summary:
Mass density: 10.05 g cm⁻³
Calculated volume: 21.57 Å³/atom
Energy relative to the elements: 0.66 eV/atom

Unit cell a=8.792 b=8.792 c=8.792 alpha=22.36 beta=22.36 gamma=22.36
Fractional positions:
1 Pb 0.495 0.495 0.495
2 Pb 0.005 0.005 0.005
3 Cr 0.250 0.250 0.250
4 Fe 0.750 0.750 0.750

---

Entry 6:
Compound: KAs2Se
Source: the Alexandria database
Functional: GGA-PBE
Structure: optimized geometry

Summary:
Mass density: 4.14 g cm⁻³
Calculated volume: 26.89 Å³/atom
E_form (uncorrected): -0.100 eV/atom

Unit cell a=6.099 b=6.099 c=6.099 alpha=146.16 beta=120.13 gamma=70.58
Fractional positions:
1 K 0.507 0.507 0.000
2 Se 0.191 0.691 0.500
3 As 0.816 0.316 0.500
4 As 0.986 0.986 0.000

---

Entry 7:
Compound: Li2PtSeF
Source: the Alexandria database
Functional: GGA-PBE
Structure: optimized geometry

Summary:
Mass density: 5.16 g cm⁻³
Calculated volume: 19.75 Å³/atom
E_form (uncorrected): -0.467 eV/atom

Unit cell a=5.022 b=3.915 c=5.022 alpha=90.00 beta=90.00 gamma=90.00
Fractional positions:
1 Se 0.500 0.500 0.500
2 Li 0.500 0.000 0.000
3 Li 0.000 0.000 0.500
4 Pt 0.000 0.000 0.000
5 F 0.000 0.500 0.000

---

Entry 8:
Compound: Sc2I3Cl
Source: the Alexandria database
Functional: GGA-PBE
Structure: optimized geometry

Summary:
Mass density: 4.00 g cm⁻³
Calculated volume: 34.99 Å³/atom
E_form (uncorrected): -1.286 eV/atom

Unit cell a=4.012 b=15.489 c=6.848 alpha=95.63 beta=90.00 gamma=97.44
Fractional positions:
1 I 0.064 0.128 0.202
2 I 0.328 0.656 0.930
3 I 0.936 0.872 0.798
4 I 0.813 0.627 0.425
5 I 0.187 0.373 0.575
6 I 0.672 0.344 0.070
7 Sc 0.379 0.758 0.568
8 Sc 0.883 0.765 0.163
9 Sc 0.117 0.235 0.837
10 Sc 0.621 0.242 0.432
11 Cl 0.568 0.136 0.703
12 Cl 0.432 0.864 0.297

---

Entry 9:
Compound: Sc3Zn3Au2
Source: the Alexandria database
Functional: GGA-PBE
Structure: optimized geometry

Summary:
Mass density: 7.80 g cm⁻³
Calculated volume: 19.30 Å³/atom
Energy relative to the elements: -0.50 eV/atom

Unit cell a=3.543 b=7.093 c=7.093 alpha=120.00 beta=90.00 gamma=90.00
Fractional positions:
1 Sc 0.500 0.600 0.000
2 Sc 0.500 0.000 0.600
3 Sc 0.500 0.400 0.400
4 Zn 0.000 0.778 0.778
5 Zn 0.000 0.000 0.222
6 Zn 0.000 0.222 0.000
7 Au 0.000 0.667 0.333
8 Au 0.000 0.333 0.667

---

Entry 10:
Compound: Ag2Br2Cl
Source: the Alexandria database
Functional: GGA-PBE
Structure: optimized geometry

Summary:
Mass density: 4.84 g cm⁻³
Calculated volume: 28.21 Å³/atom
E_form (uncorrected): -0.317 eV/atom

Unit cell a=5.454 b=7.677 c=8.140 alpha=65.17 beta=70.43 gamma=69.19
Fractional positions:
1 Ag 0.168 0.265 0.400
2 Ag 0.494 0.783 0.229
3 Ag 0.832 0.735 0.600
4 Ag 0.506 0.217 0.771
5 Br 0.007 0.730 0.255
6 Br 0.668 0.247 0.416
7 Br 0.993 0.270 0.745
8 Br 0.332 0.753 0.584
9 Cl 0.655 0.788 0.903
10 Cl 0.345 0.212 0.097